No. 1
Material: Ni3Rh2
Method: DFT, PBE-GGA
State: relaxed

Cell lengths 4.8342, 4.8342, 4.8342 Å; angles 50.41, 50.41, 50.41 degrees
Element x y z (fractional)
Ni 0.0000 0.0000 0.0000
Ni 0.1908 0.1908 0.1908
Ni 0.8092 0.8092 0.8092
Rh 0.3959 0.3959 0.3959
Rh 0.6041 0.6041 0.6041

## Properties
magnetic moment: 0.26 μB per atom
calculated formation energy: 0.656 eV/f.u.

No. 2
Material: ScBeCl
Method: DFT, PBE-GGA
State: relaxed

Cell lengths 4.2985, 4.2985, 4.2985 Å; angles 60.00, 60.00, 60.00 degrees
Element x y z (fractional)
Sc 0.0000 0.0000 0.0000
Be 0.5000 0.5000 0.5000
Cl 0.2500 0.2500 0.2500

## Properties
magnetic moment: 0.00 μB per atom
formation energy from raw total energies: 0.22 eV per atom

No. 3
Material: In2FeSi
Method: DFT, PBE-GGA
State: relaxed

Cell lengths 5.2782, 5.2782, 5.2782 Å; angles 133.83, 133.83, 67.36 degrees
Element x y z (fractional)
In 0.0000 0.0000 0.0000
In 0.7500 0.2500 0.5000
Fe 0.5000 0.5000 0.0000
Si 0.2500 0.7500 0.5000

## Properties
magnetic moment: 0.68 μB per atom
formation energy from raw total energies: 0.48 eV per atom

No. 4
Material: Pr5ThSn5
Method: DFT, PBE-GGA
State: relaxed

Cell lengths 7.9589, 7.9589, 8.8321 Å; angles 105.95, 105.95, 47.52 degrees
Element x y z (fractional)
Pr 0.0000 0.0000 0.0000
Pr 0.3308 0.3308 0.6628
Pr 0.3324 0.3324 0.1664
Pr 0.6676 0.6676 0.8336
Pr 0.6692 0.6692 0.3372
Th 0.0000 0.0000 0.5000
Sn 0.1635 0.1635 0.3282
Sn 0.1647 0.1647 0.8342
Sn 0.5000 0.5000 0.5000
Sn 0.8353 0.8353 0.1658
Sn 0.8365 0.8365 0.6718

## Properties
magnetic moment: 0.06 μB per atom
calculated formation energy: -5.334 eV/f.u.

No. 5
Material: KNa2TeH
Method: DFT, PBE-GGA
State: relaxed

Cell lengths 4.9363, 4.9363, 5.1211 Å; angles 90.00, 90.00, 90.00 degrees
Element x y z (fractional)
K 0.0000 0.0000 0.0000
Na 0.0000 0.5000 0.5000
Na 0.5000 0.0000 0.5000
Te 0.5000 0.5000 0.0000
H 0.0000 0.0000 0.5000

## Properties
electronic total energy: -13.32 eV/f.u.
magnetic moment: 0.00 μB per atom

No. 6
Material: Tb2TmPu3Se6
Method: DFT, PBE-GGA
State: relaxed

Cell lengths 9.2093, 9.2093, 8.2530 Å; angles 103.73, 103.73, 25.63 degrees
Element x y z (fractional)
Tb 0.1670 0.1670 0.3345
Tb 0.8330 0.8330 0.6655
Tm 0.5000 0.5000 0.0000
Pu 0.1678 0.1678 0.8335
Pu 0.5000 0.5000 0.5000
Pu 0.8322 0.8322 0.1665
Se 0.0004 0.0004 0.2426
Se 0.9996 0.9996 0.7574
Se 0.3327 0.3327 0.4183
Se 0.3364 0.3364 0.9157
Se 0.6636 0.6636 0.0843
Se 0.6673 0.6673 0.5817

## Properties
magnetic moment: 1.47 μB per atom
formation energy from raw total energies: -1.66 eV per atom

Q: Which value of magnetic moment does entry 3 give?
A: 0.68 μB per atom

Q: magnetic moment of number 5 (KNa2TeH)?
A: 0.00 μB per atom

What did the second record say?
Material: ScBeCl
Method: DFT, PBE-GGA
State: relaxed

Cell lengths 4.2985, 4.2985, 4.2985 Å; angles 60.00, 60.00, 60.00 degrees
Element x y z (fractional)
Sc 0.0000 0.0000 0.0000
Be 0.5000 0.5000 0.5000
Cl 0.2500 0.2500 0.2500

## Properties
magnetic moment: 0.00 μB per atom
formation energy from raw total energies: 0.22 eV per atom